Entry 1:
Sr3Sn2, relaxed, DFT PBE-GGA; electronic total energy = -15.48 eV per cell; density of states at the Fermi level = 2.8 states/eV per cell; energy relative to the elements = -486.8 meV per atom; symmetry = I4/mmm (139); calculated volume = 187 Å³/cell
1.0
-0.2191 -3.9177 0.1261
1.2970 0.0467 3.7052
-11.9970 2.7052 2.0855
Sr Sn
3 2
Direct
0.0000 0.0000 0.0000
0.1759 0.1759 0.3518
0.8241 0.8241 0.6482
0.4081 0.4081 0.8162
0.5919 0.5919 0.1838


Entry 2:
SrSn3, relaxed, DFT PBE-GGA; electronic total energy = -30.47 eV per cell; density of states at the Fermi level = 4.6 states/eV per cell; energy relative to the elements = -386.2 meV per atom; symmetry = P6_3/mmc (194); calculated volume = 241 Å³/cell
1.0
-0.9123 -5.4741 -1.8790
6.6455 -0.5060 -1.7525
-2.0453 -1.8290 6.3216
Sr Sn
2 6
Direct
0.7500 0.6667 0.3333
0.2500 0.3333 0.6667
0.7500 0.7026 0.8513
0.2500 0.8513 0.1487
0.2500 0.8513 0.7026
0.7500 0.1487 0.2974
0.7500 0.1487 0.8513
0.2500 0.2974 0.1487


Entry 3:
SrSn, relaxed, DFT PBE-GGA; electronic total energy = -49.31 eV per cell; density of states at the Fermi level = 9.0 states/eV per cell; energy relative to the elements = -239.7 meV per atom; symmetry = I4/m (87); calculated volume = 623 Å³/cell
1.0
12.3547 0.0000 0.0000
0.0000 12.3547 0.0000
0.0000 0.0000 4.0842
Sr Sn
8 8
Direct
0.3419 0.1322 0.0000
0.6581 0.8678 0.0000
0.8678 0.3419 0.0000
0.1322 0.6581 0.0000
0.8419 0.6322 0.5000
0.1581 0.3678 0.5000
0.3678 0.8419 0.5000
0.6322 0.1581 0.5000
0.1545 0.9322 0.0000
0.8455 0.0678 0.0000
0.0678 0.1545 0.0000
0.9322 0.8455 0.0000
0.6545 0.4322 0.5000
0.3455 0.5678 0.5000
0.5678 0.6545 0.5000
0.4322 0.3455 0.5000


Entry 4:
SrSn, relaxed, DFT PBE-GGA; electronic total energy = -11.28 eV per cell; density of states at the Fermi level = 6.9 states/eV per cell; energy relative to the elements = 22.5 meV per atom; symmetry = P6_3/mmc (194); calculated volume = 200 Å³/cell
1.0
5.8747 0.0000 0.0000
-2.9374 5.0877 0.0000
0.0000 0.0000 6.6911
Sr Sn
2 2
Direct
0.3333 0.6667 0.2500
0.6667 0.3333 0.7500
0.3333 0.6667 0.7500
0.6667 0.3333 0.2500


Entry 5:
SrSn, relaxed, DFT PBE-GGA; electronic total energy = -28.13 eV per cell; density of states at the Fermi level = 3.3 states/eV per cell; energy relative to the elements = -674.4 meV per atom; symmetry = Cmcm (63); calculated volume = 281 Å³/cell
1.0
5.0863 0.0000 0.0014
0.0000 7.3505 0.0000
-2.5433 0.0000 7.5173
Sr Sn
4 4
Direct
0.7235 0.7500 0.4474
0.2765 0.2500 0.5526
0.4568 0.7500 0.9136
0.5432 0.2500 0.0864
0.9015 0.0487 0.8030
0.0985 0.9513 0.1970
0.0985 0.5487 0.1970
0.9015 0.4513 0.8030


Entry 6:
SrSn6, relaxed, DFT PBE-GGA; electronic total energy = -25.37 eV per cell; density of states at the Fermi level = 3.8 states/eV per cell; energy relative to the elements = 47.5 meV per atom; symmetry = Im-3m (229); calculated volume = 270 Å³/cell
1.0
-5.4562 -2.8702 3.4292
0.0593 -2.3005 -6.6687
6.0166 -1.8564 3.1815
Sr Sn
1 6
Direct
0.0000 0.0000 0.0000
0.2500 0.7500 0.5000
0.5000 0.7500 0.2500
0.2500 0.5000 0.7500
0.7500 0.2500 0.5000
0.5000 0.2500 0.7500
0.7500 0.5000 0.2500


Entry 7:
SrSn, relaxed, DFT PBE-GGA; electronic total energy = -20.50 eV per cell; density of states at the Fermi level = 10.9 states/eV per cell; energy relative to the elements = 279.8 meV per atom; symmetry = F-43m (216); calculated volume = 457 Å³/cell
1.0
-7.4717 -0.4551 -1.8149
1.4353 -6.1872 -4.3572
-1.2004 -4.5649 6.0867
Sr Sn
4 4
Direct
0.2500 0.2500 0.2500
0.2500 0.7500 0.7500
0.7500 0.2500 0.7500
0.7500 0.7500 0.2500
0.0000 0.0000 0.0000
0.0000 0.5000 0.5000
0.5000 0.0000 0.5000
0.5000 0.5000 0.0000


Entry 8:
SrSn3, relaxed, DFT PBE-GGA; electronic total energy = -14.51 eV per cell; density of states at the Fermi level = 3.2 states/eV per cell; energy relative to the elements = -203.8 meV per atom; symmetry = Fm-3m (225); calculated volume = 122 Å³/cell
1.0
-0.5462 -5.3965 1.2488
2.7594 -3.8317 -2.9469
4.2421 -2.7650 2.3109
Sr Sn
1 3
Direct
0.5000 0.5000 0.5000
0.0000 0.0000 0.0000
0.7500 0.7500 0.7500
0.2500 0.2500 0.2500


Entry 9:
Sr3Sn, relaxed, DFT PBE-GGA; electronic total energy = -10.11 eV per cell; density of states at the Fermi level = 3.4 states/eV per cell; energy relative to the elements = -266.6 meV per atom; symmetry = I4/mmm (139); calculated volume = 155 Å³/cell
1.0
-3.4019 3.5416 -2.2927
-4.2063 -2.6196 2.1946
4.1213 2.6111 4.3239
Sr Sn
3 1
Direct
0.7500 0.2500 0.5000
0.2500 0.7500 0.5000
0.5000 0.5000 0.0000
0.0000 0.0000 0.0000


Entry 10:
Sr2Sn3, relaxed, DFT PBE-GGA; electronic total energy = -18.07 eV per cell; density of states at the Fermi level = 2.5 states/eV per cell; energy relative to the elements = -538.8 meV per atom; symmetry = Immm (71); calculated volume = 166 Å³/cell
1.0
4.6446 0.0000 0.0000
2.3223 6.1636 -0.1604
2.3223 2.2329 5.7472
Sr Sn
2 3
Direct
0.7825 0.7175 0.7175
0.2175 0.2825 0.2825
0.0000 0.0000 0.0000
0.5000 0.2886 0.7114
0.5000 0.7114 0.2886


Entry 11:
SrSn2, relaxed, DFT PBE-GGA; electronic total energy = -22.46 eV per cell; energy relative to the elements = -514.2 meV per atom; symmetry = Fd-3m (227); calculated volume = 185 Å³/cell
1.0
6.4009 0.0000 0.0000
3.2005 5.5434 0.0000
3.2005 1.8478 5.2263
Sr Sn
2 4
Direct
0.0000 0.0000 0.0000
0.2500 0.2500 0.2500
0.1250 0.6250 0.6250
0.6250 0.1250 0.6250
0.6250 0.6250 0.6250
0.6250 0.6250 0.1250


Entry 12:
SrSn, relaxed, DFT PBE-GGA; electronic total energy = -48.57 eV per cell; density of states at the Fermi level = 18.0 states/eV per cell; energy relative to the elements = -193.6 meV per atom; symmetry = I4/m (87); calculated volume = 870 Å³/cell
1.0
13.8277 0.0000 0.0000
0.0000 13.8277 0.0000
0.0000 0.0000 4.5527
Sr Sn
8 8
Direct
0.4503 0.8163 0.0000
0.5497 0.1837 0.0000
0.1837 0.4503 0.0000
0.8163 0.5497 0.0000
0.9503 0.3163 0.5000
0.0497 0.6837 0.5000
0.6837 0.9503 0.5000
0.3163 0.0497 0.5000
0.3138 0.2350 0.0000
0.6862 0.7650 0.0000
0.7650 0.3138 0.0000
0.2350 0.6862 0.0000
0.8138 0.7350 0.5000
0.1862 0.2650 0.5000
0.2650 0.8138 0.5000
0.7350 0.1862 0.5000